This record from the Alexandria database describes an optimized crystal structure of Dy2WO6. The functional is PBE+U.

Values from the calculation:
The volume is 13.4 Å³/atom. As for the total energy: -584.91 eV per cell.

Lattice parameters (Å, degrees): 5.5783 10.6505 16.1955 90.00 90.00 90.00
Sites, in units of the cell vectors:
Dy1 0.4524 0.3557 0.7715
Dy2 0.8987 0.3587 0.9391
Dy3 0.6013 0.8587 0.0609
Dy4 0.5476 0.6443 0.2285
Dy5 0.6013 0.3587 0.4391
Dy6 0.3987 0.1413 0.9391
Dy7 0.1013 0.1413 0.4391
Dy8 0.3987 0.6413 0.5609
Dy9 0.9524 0.6443 0.7285
Dy10 0.4524 0.8557 0.7285
Dy11 0.5476 0.1443 0.2715
Dy12 0.1013 0.6413 0.0609
Dy13 0.0476 0.3557 0.2715
Dy14 0.8987 0.8587 0.5609
Dy15 0.9524 0.1443 0.7715
Dy16 0.0476 0.8557 0.2285
O1 0.4239 0.7131 0.9780
O2 0.1829 0.0580 0.2318
O3 0.6180 0.4573 0.5729
O4 0.9059 0.9878 0.1082
O5 0.3171 0.0580 0.7318
O6 0.4059 0.5122 0.1082
O7 0.0761 0.2131 0.0220
O8 0.9239 0.2869 0.5220
O9 0.3395 0.7683 0.3277
O10 0.8222 0.7299 0.1451
O11 0.9059 0.4878 0.3918
O12 0.5761 0.7869 0.4780
O13 0.3171 0.5580 0.7682
O14 0.0941 0.5122 0.6082
O15 0.6180 0.9573 0.9271
O16 0.5941 0.9878 0.6082
O17 0.3222 0.7701 0.1451
O18 0.3820 0.5427 0.4271
O19 0.6778 0.7299 0.6451
O20 0.1778 0.2701 0.8549
O21 0.0941 0.0122 0.8918
O22 0.9239 0.7869 0.9780
O23 0.3820 0.0427 0.0729
O24 0.8171 0.4420 0.7318
O25 0.5941 0.4878 0.8918
O26 0.1605 0.7683 0.8277
O27 0.3222 0.2701 0.3549
O28 0.1778 0.7701 0.6451
O29 0.8171 0.9420 0.7682
O30 0.1829 0.5580 0.2682
O31 0.8820 0.4573 0.0729
O32 0.6605 0.2317 0.6723
O33 0.6829 0.9420 0.2682
O34 0.8395 0.2317 0.1723
O35 0.4239 0.2131 0.5220
O36 0.8395 0.7317 0.3277
O37 0.8820 0.9573 0.4271
O38 0.6605 0.7317 0.8277
O39 0.6778 0.2299 0.8549
O40 0.1180 0.5427 0.9271
O41 0.5761 0.2869 0.0220
O42 0.8222 0.2299 0.3549
O43 0.6829 0.4420 0.2318
O44 0.1605 0.2683 0.6723
O45 0.1180 0.0427 0.5729
O46 0.4059 0.0122 0.3918
O47 0.0761 0.7131 0.4780
O48 0.3395 0.2683 0.1723
W1 0.1119 0.6215 0.3791
W2 0.6119 0.3785 0.1209
W3 0.3881 0.6215 0.8791
W4 0.3881 0.1215 0.6209
W5 0.1119 0.1215 0.1209
W6 0.6119 0.8785 0.3791
W7 0.8881 0.8785 0.8791
W8 0.8881 0.3785 0.6209